[1]
The following is a DFT calculation (PBE) of a relaxed structure of Ca2LaBe2.

Cell lengths 5.211, 5.211, 6.293 Å; angles 65.54, 65.54, 90.00 degrees
Atoms (fractional coordinates):
Be (0.750, 0.250, 0.500)
Be (0.250, 0.750, 0.500)
Ca (0.343, 0.343, 0.314)
Ca (0.657, 0.657, 0.686)
La (0.000, 0.000, 0.000)

offset from the most stable computed form	0.98	eV per formula unit
mass density	2.84	g cm⁻³
DFT formation energy	0.601	eV/atom
density of states at the Fermi level	1.3041	states/eV/atom
spin magnetization	0.00	μB/cell

[2]
The following is a DFT calculation (PBE) of a relaxed structure of K2LaSe2.

Cell lengths 8.509, 8.509, 8.509 Å; angles 150.95, 150.95, 41.55 degrees
Atoms (fractional coordinates):
K (0.250, 0.750, 0.500)
K (0.750, 0.250, 0.500)
La (0.000, 0.000, 0.000)
Se (0.602, 0.602, 0.000)
Se (0.398, 0.398, 0.000)

formation energy (no corrections)	-0.951	eV/atom
offset from the most stable computed form	1.43	eV per formula unit
mass density	4.30	g cm⁻³
density of states at the Fermi level	0.4875	states/eV/atom
spin magnetization	0.95	μB/cell

[3]
The following is a DFT calculation (PBE) of a relaxed structure of CeUOs.

Cell lengths 2.807, 4.838, 4.838 Å; angles 120.00, 90.00, 90.00 degrees
Atoms (fractional coordinates):
Os (0.911, 0.000, 0.000)
U (0.551, 0.667, 0.333)
Ce (0.538, 0.333, 0.667)

offset from the most stable computed form	0.28	eV per formula unit
mass density	16.59	g cm⁻³
DFT formation energy	-0.021	eV/atom
density of states at the Fermi level	1.7993	states/eV/atom
spin magnetization	0.00	μB/cell

[4]
The following is a DFT calculation (PBE) of a relaxed structure of NaLi2BiO4.

Cell lengths 5.308, 5.353, 5.353 Å; angles 59.44, 60.28, 60.28 degrees
Atoms (fractional coordinates):
Na (0.000, 0.000, 0.000)
Li (0.250, 0.250, 0.250)
Li (0.750, 0.750, 0.750)
Bi (0.500, 0.500, 0.500)
O (0.423, 0.124, 0.577)
O (0.124, 0.876, 0.423)
O (0.876, 0.577, 0.124)
O (0.577, 0.423, 0.876)

formation energy (no corrections)	-1.425	eV/atom
mass density	4.78	g cm⁻³
spin magnetization	0.00	μB/cell

[5]
The following is a DFT calculation (PBE) of a relaxed structure of AlInSiRh2.

Cell lengths 4.907, 4.790, 4.907 Å; angles 90.00, 90.00, 90.00 degrees
Atoms (fractional coordinates):
Si (0.500, 0.500, 0.500)
Rh (0.000, 0.000, 0.500)
Rh (0.500, 0.000, 0.000)
Al (0.000, 0.500, 0.000)
In (0.000, 0.000, 0.000)

formation energy (no corrections)	1.304	eV/atom
mass density	5.41	g cm⁻³
density of states at the Fermi level	1.3208	states/eV/atom
spin magnetization	0.00	μB/cell

[6]
The following is a DFT calculation (PBE) of a relaxed structure of Dy2YPb.

Cell lengths 3.618, 3.618, 11.128 Å; angles 80.61, 80.61, 59.98 degrees
Atoms (fractional coordinates):
Dy (0.080, 0.080, 0.759)
Dy (0.253, 0.253, 0.240)
Y (0.500, 0.500, 0.500)
Pb (0.667, 0.667, 0.000)

offset from the most stable computed form	0.48	eV per formula unit
mass density	8.33	g cm⁻³
DFT formation energy	-0.161	eV/atom
density of states at the Fermi level	1.1038	states/eV/atom
spin magnetization	0.12	μB/cell

[7]
The following is a DFT calculation (PBE) of a relaxed structure of AcAl2Zn4Au.

Cell lengths 4.410, 4.410, 9.749 Å; angles 76.93, 76.93, 60.00 degrees
Atoms (fractional coordinates):
Ac (0.000, 0.000, 0.000)
Al (0.756, 0.756, 0.732)
Al (0.244, 0.244, 0.268)
Zn (0.405, 0.405, 0.784)
Zn (0.871, 0.871, 0.386)
Zn (0.129, 0.129, 0.614)
Zn (0.595, 0.595, 0.216)
Au (0.500, 0.500, 0.500)

mass density	7.75	g cm⁻³
DFT formation energy	-0.198	eV/atom
density of states at the Fermi level	0.3754	states/eV/atom
spin magnetization	0.00	μB/cell

[8]
The following is a DFT calculation (PBE) of a relaxed structure of Cu6PtRh.

Cell lengths 3.713, 3.713, 7.422 Å; angles 90.00, 90.00, 90.00 degrees
Atoms (fractional coordinates):
Cu (0.500, 0.500, 0.000)
Cu (0.500, 0.500, 0.500)
Cu (0.500, 0.000, 0.252)
Cu (0.500, 0.000, 0.748)
Cu (0.000, 0.500, 0.252)
Cu (0.000, 0.500, 0.748)
Pt (0.000, 0.000, 0.000)
Rh (0.000, 0.000, 0.500)

offset from the most stable computed form	0.00	eV per formula unit
mass density	11.02	g cm⁻³
DFT formation energy	-0.048	eV/atom
density of states at the Fermi level	0.8504	states/eV/atom
spin magnetization	0.00	μB/cell

[9]
The following is a DFT calculation (PBE) of a relaxed structure of ScAlTl2.

Cell lengths 6.185, 6.185, 3.368 Å; angles 74.26, 74.26, 117.98 degrees
Atoms (fractional coordinates):
Sc (0.000, 0.500, 0.500)
Tl (0.000, 0.000, 0.000)
Tl (0.500, 0.500, 0.000)
Al (0.500, 0.000, 0.500)

offset from the most stable computed form	0.42	eV per formula unit
mass density	8.25	g cm⁻³
DFT formation energy	0.019	eV/atom
density of states at the Fermi level	0.6572	states/eV/atom
spin magnetization	0.19	μB/cell

[10]
The following is a DFT calculation (PBE) of a relaxed structure of SmAlGaPt3.

Cell lengths 5.610, 6.745, 7.013 Å; angles 118.75, 90.00, 90.00 degrees
Atoms (fractional coordinates):
Sm (0.750, 0.296, 0.591)
Sm (0.250, 0.704, 0.409)
Al (0.250, 0.957, 0.915)
Al (0.750, 0.043, 0.085)
Ga (0.250, 0.366, 0.733)
Ga (0.750, 0.634, 0.267)
Pt (0.250, 0.167, 0.335)
Pt (0.000, 0.292, 0.000)
Pt (0.500, 0.708, 0.000)
Pt (0.500, 0.292, 0.000)
Pt (0.000, 0.708, 0.000)
Pt (0.750, 0.833, 0.665)

mass density	11.88	g cm⁻³
DFT formation energy	-0.809	eV/atom
density of states at the Fermi level	0.2523	states/eV/atom
spin magnetization	0.00	μB/cell

[11]
The following is a DFT calculation (PBE) of a relaxed structure of LiMgAu5.

Cell lengths 5.045, 5.045, 5.654 Å; angles 90.00, 90.00, 112.47 degrees
Atoms (fractional coordinates):
Li (0.500, 0.500, 0.500)
Mg (0.000, 0.000, 0.000)
Au (0.500, 0.000, 0.245)
Au (0.000, 0.500, 0.245)
Au (0.000, 0.000, 0.500)
Au (0.000, 0.500, 0.755)
Au (0.500, 0.000, 0.755)

mass density	12.69	g cm⁻³
DFT formation energy	-0.347	eV/atom
density of states at the Fermi level	0.3429	states/eV/atom
spin magnetization	0.00	μB/cell

[12]
The following is a DFT calculation (PBE) of a relaxed structure of Ba5ZnAu2.

Cell lengths 8.980, 8.980, 10.282 Å; angles 115.89, 115.89, 90.00 degrees
Atoms (fractional coordinates):
Ba (0.529, 0.694, 0.722)
Ba (0.806, 0.971, 0.278)
Ba (0.000, 0.000, 0.000)
Ba (0.500, 0.500, 0.000)
Ba (0.194, 0.029, 0.722)
Ba (0.694, 0.194, 0.722)
Ba (0.029, 0.529, 0.722)
Ba (0.306, 0.806, 0.278)
Ba (0.971, 0.471, 0.278)
Ba (0.471, 0.306, 0.278)
Zn (0.750, 0.750, 0.500)
Zn (0.250, 0.250, 0.500)
Au (0.127, 0.373, 0.000)
Au (0.627, 0.127, 0.000)
Au (0.373, 0.873, 0.000)
Au (0.873, 0.627, 0.000)

mass density	5.84	g cm⁻³
DFT formation energy	-0.407	eV/atom
density of states at the Fermi level	0.9440	states/eV/atom
spin magnetization	0.00	μB/cell

[13]
The following is a DFT calculation (PBE) of a relaxed structure of CaMgCuNi.

Cell lengths 4.678, 4.678, 4.678 Å; angles 60.00, 60.00, 60.00 degrees
Atoms (fractional coordinates):
Ni (0.750, 0.750, 0.750)
Ca (0.000, 0.000, 0.000)
Mg (0.500, 0.500, 0.500)
Cu (0.250, 0.250, 0.250)

mass density	4.28	g cm⁻³
DFT formation energy	-0.021	eV/atom
density of states at the Fermi level	0.2508	states/eV/atom
spin magnetization	0.00	μB/cell

[14]
The following is a DFT calculation (PBE) of a relaxed structure of KGaBi.

Cell lengths 5.378, 4.905, 4.905 Å; angles 120.00, 90.00, 90.00 degrees
Atoms (fractional coordinates):
K (0.678, 0.667, 0.333)
Bi (0.191, 0.333, 0.667)
Ga (0.131, 0.000, 0.000)

offset from the most stable computed form	0.34	eV per formula unit
mass density	4.71	g cm⁻³
DFT formation energy	-0.163	eV/atom
density of states at the Fermi level	0.3026	states/eV/atom
spin magnetization	0.00	μB/cell

[15]
The following is a DFT calculation (PBE) of a relaxed structure of ZrPt6Au.

Cell lengths 6.991, 6.991, 11.429 Å; angles 90.00, 90.00, 109.48 degrees
Atoms (fractional coordinates):
Zr (0.753, 0.247, 0.500)
Zr (0.247, 0.753, 0.500)
Zr (0.000, 0.000, 0.753)
Zr (0.000, 0.000, 0.247)
Pt (0.752, 0.248, 0.747)
Pt (0.123, 0.373, 0.874)
Pt (0.877, 0.627, 0.874)
Pt (0.248, 0.752, 0.747)
Pt (0.627, 0.877, 0.874)
Pt (0.373, 0.123, 0.874)
Pt (0.500, 0.500, 0.500)
Pt (0.876, 0.625, 0.624)
Pt (0.625, 0.876, 0.624)
Pt (0.752, 0.248, 0.253)
Pt (0.124, 0.375, 0.376)
Pt (0.876, 0.625, 0.376)
Pt (0.248, 0.752, 0.253)
Pt (0.625, 0.876, 0.376)
Pt (0.375, 0.124, 0.376)
Pt (0.500, 0.500, 0.000)
Pt (0.877, 0.627, 0.126)
Pt (0.627, 0.877, 0.126)
Pt (0.000, 0.000, 0.500)
Pt (0.375, 0.124, 0.624)
Pt (0.124, 0.375, 0.624)
Pt (0.000, 0.000, 0.000)
Pt (0.373, 0.123, 0.126)
Pt (0.123, 0.373, 0.126)
Au (0.749, 0.251, 0.000)
Au (0.251, 0.749, 0.000)
Au (0.500, 0.500, 0.754)
Au (0.500, 0.500, 0.246)

mass density	18.40	g cm⁻³
DFT formation energy	-0.512	eV/atom
density of states at the Fermi level	0.9306	states/eV/atom
spin magnetization	0.00	μB/cell

[16]
The following is a DFT calculation (PBE) of a relaxed structure of SrGeAu2.

Cell lengths 4.592, 4.592, 20.520 Å; angles 90.00, 90.00, 90.00 degrees
Atoms (fractional coordinates):
Sr (0.016, 0.974, 0.386)
Sr (0.026, 0.016, 0.636)
Sr (0.974, 0.984, 0.136)
Sr (0.984, 0.026, 0.886)
Ge (0.476, 0.566, 0.960)
Ge (0.434, 0.476, 0.210)
Ge (0.566, 0.524, 0.710)
Ge (0.524, 0.434, 0.460)
Au (0.524, 0.521, 0.589)
Au (0.479, 0.524, 0.839)
Au (0.521, 0.476, 0.339)
Au (0.476, 0.479, 0.089)
Au (0.024, 0.497, 0.509)
Au (0.503, 0.024, 0.759)
Au (0.497, 0.976, 0.259)
Au (0.976, 0.503, 0.009)

mass density	8.51	g cm⁻³
DFT formation energy	-0.485	eV/atom
density of states at the Fermi level	0.3306	states/eV/atom
spin magnetization	0.00	μB/cell

[17]
The following is a DFT calculation (PBE) of a relaxed structure of Ba3BiPb2O6.

Cell lengths 6.326, 6.326, 7.229 Å; angles 90.00, 90.00, 120.00 degrees
Atoms (fractional coordinates):
Ba (0.333, 0.667, 0.612)
Ba (0.667, 0.333, 0.388)
Ba (0.000, 0.000, 0.000)
Bi (0.000, 0.000, 0.500)
Pb (0.667, 0.333, 0.881)
Pb (0.333, 0.667, 0.119)
O (0.658, 0.829, 0.307)
O (0.171, 0.342, 0.307)
O (0.171, 0.829, 0.307)
O (0.829, 0.658, 0.693)
O (0.342, 0.171, 0.693)
O (0.829, 0.171, 0.693)

formation energy (no corrections)	-1.727	eV/atom
mass density	7.50	g cm⁻³
density of states at the Fermi level	0.3400	states/eV/atom
spin magnetization	0.00	μB/cell

[18]
The following is a DFT calculation (PBE) of a relaxed structure of Ac3Be2ZnPd9.

Cell lengths 6.861, 6.861, 7.213 Å; angles 90.00, 90.00, 120.00 degrees
Atoms (fractional coordinates):
Ac (0.333, 0.667, 0.668)
Ac (0.000, 0.000, 0.000)
Ac (0.667, 0.333, 0.332)
Be (0.333, 0.667, 0.143)
Be (0.667, 0.333, 0.857)
Zn (0.000, 0.000, 0.500)
Pd (0.818, 0.182, 0.675)
Pd (0.818, 0.635, 0.675)
Pd (0.365, 0.182, 0.675)
Pd (0.635, 0.818, 0.325)
Pd (0.182, 0.365, 0.325)
Pd (0.182, 0.818, 0.325)
Pd (0.500, 0.000, 0.000)
Pd (0.000, 0.500, 0.000)
Pd (0.500, 0.500, 0.000)

mass density	9.73	g cm⁻³
DFT formation energy	-0.646	eV/atom
density of states at the Fermi level	0.3593	states/eV/atom
spin magnetization	0.00	μB/cell

[19]
The following is a DFT calculation (PBE) of a relaxed structure of KSn2Sb2.

Cell lengths 5.338, 5.338, 7.525 Å; angles 69.23, 69.23, 90.00 degrees
Atoms (fractional coordinates):
Sb (0.363, 0.363, 0.275)
Sb (0.637, 0.637, 0.725)
K (0.000, 0.000, 0.000)
Sn (0.750, 0.250, 0.500)
Sn (0.250, 0.750, 0.500)

formation energy (no corrections)	-0.130	eV/atom
mass density	4.66	g cm⁻³
density of states at the Fermi level	0.3719	states/eV/atom
spin magnetization	0.00	μB/cell

[20]
The following is a DFT calculation (PBE) of a relaxed structure of BaVSeN2.

Cell lengths 4.134, 4.134, 5.011 Å; angles 90.00, 90.00, 90.00 degrees
Atoms (fractional coordinates):
N (0.000, 0.500, 0.000)
N (0.500, 0.000, 0.000)
Ba (0.500, 0.500, 0.500)
Se (0.000, 0.000, 0.500)
V (0.000, 0.000, 0.000)

formation energy (no corrections)	-0.244	eV/atom
offset from the most stable computed form	0.00	eV per formula unit
mass density	5.72	g cm⁻³
density of states at the Fermi level	0.9526	states/eV/atom
spin magnetization	0.00	μB/cell